1.
# GGA-PBE NdEuCdSb, optimized geometry
data_NdEuCdSb
_chemical_formula_sum 'Nd4 Eu4 Cd4 Sb4'
_cell_length_a 7.763
_cell_length_b 7.763
_cell_length_c 7.763
_cell_angle_alpha 90.00
_cell_angle_beta 90.00
_cell_angle_gamma 90.00
_space_group_name_H-M_alt 'F -4 3 m'
_space_group_IT_number 216
_space_group_name_Hall 'F -4 2 3'
loop_
_atom_site_label
_atom_site_fract_x
_atom_site_fract_y
_atom_site_fract_z
_atom_site_occupancy
Nd1 0.000 0.000 0.000 1
Eu1 0.000 0.000 0.500 1
Cd1 0.250 0.250 0.250 1
Sb1 0.250 0.250 0.750 1
# - E_form (uncorrected): -595 meV per atom

2.
# GGA-PBE NdEuScCd, optimized geometry
data_NdEuScCd
_chemical_formula_sum 'Nd4 Eu4 Sc4 Cd4'
_cell_length_a 7.798
_cell_length_b 7.798
_cell_length_c 7.798
_cell_angle_alpha 90.00
_cell_angle_beta 90.00
_cell_angle_gamma 90.00
_space_group_name_H-M_alt 'F -4 3 m'
_space_group_IT_number 216
_space_group_name_Hall 'F -4 2 3'
loop_
_atom_site_label
_atom_site_fract_x
_atom_site_fract_y
_atom_site_fract_z
_atom_site_occupancy
Nd1 0.000 0.000 0.000 1
Eu1 0.000 0.000 0.500 1
Sc1 0.250 0.250 0.750 1
Cd1 0.250 0.250 0.250 1
# - DFT formation energy: -0.01 eV per atom

3.
# GGA-PBE NdSmEuCd, optimized geometry
data_NdSmEuCd
_chemical_formula_sum 'Nd4 Sm4 Eu4 Cd4'
_cell_length_a 7.940
_cell_length_b 7.940
_cell_length_c 7.940
_cell_angle_alpha 90.00
_cell_angle_beta 90.00
_cell_angle_gamma 90.00
_space_group_name_H-M_alt 'F -4 3 m'
_space_group_IT_number 216
_space_group_name_Hall 'F -4 2 3'
loop_
_atom_site_label
_atom_site_fract_x
_atom_site_fract_y
_atom_site_fract_z
_atom_site_occupancy
Nd1 0.000 0.000 0.000 1
Sm1 0.000 0.000 0.500 1
Eu1 0.250 0.250 0.250 1
Cd1 0.250 0.250 0.750 1
# - DFT formation energy: -0.03 eV per atom

4.
# GGA-PBE NdEuCdSn, optimized geometry
data_NdEuCdSn
_chemical_formula_sum 'Nd4 Eu4 Cd4 Sn4'
_cell_length_a 7.774
_cell_length_b 7.774
_cell_length_c 7.774
_cell_angle_alpha 90.00
_cell_angle_beta 90.00
_cell_angle_gamma 90.00
_space_group_name_H-M_alt 'F -4 3 m'
_space_group_IT_number 216
_space_group_name_Hall 'F -4 2 3'
loop_
_atom_site_label
_atom_site_fract_x
_atom_site_fract_y
_atom_site_fract_z
_atom_site_occupancy
Nd1 0.000 0.000 0.000 1
Eu1 0.000 0.000 0.500 1
Cd1 0.250 0.250 0.750 1
Sn1 0.250 0.250 0.250 1
# - DFT formation energy: -0.53 eV per atom

5.
# GGA-PBE SrNdEuCd, optimized geometry
data_SrNdEuCd
_chemical_formula_sum 'Sr4 Nd4 Eu4 Cd4'
_cell_length_a 8.240
_cell_length_b 8.240
_cell_length_c 8.240
_cell_angle_alpha 90.00
_cell_angle_beta 90.00
_cell_angle_gamma 90.00
_space_group_name_H-M_alt 'F -4 3 m'
_space_group_IT_number 216
_space_group_name_Hall 'F -4 2 3'
loop_
_atom_site_label
_atom_site_fract_x
_atom_site_fract_y
_atom_site_fract_z
_atom_site_occupancy
Sr1 0.000 0.000 0.000 1
Nd1 0.000 0.000 0.500 1
Eu1 0.250 0.250 0.250 1
Cd1 0.250 0.250 0.750 1
# - DFT formation energy: 0.01 eV per atom

6.
# GGA-PBE TbNdEuCd, optimized geometry
data_TbNdEuCd
_chemical_formula_sum 'Tb4 Nd4 Eu4 Cd4'
_cell_length_a 7.895
_cell_length_b 7.895
_cell_length_c 7.895
_cell_angle_alpha 90.00
_cell_angle_beta 90.00
_cell_angle_gamma 90.00
_space_group_name_H-M_alt 'F -4 3 m'
_space_group_IT_number 216
_space_group_name_Hall 'F -4 2 3'
loop_
_atom_site_label
_atom_site_fract_x
_atom_site_fract_y
_atom_site_fract_z
_atom_site_occupancy
Tb1 0.000 0.000 0.000 1
Nd1 0.000 0.000 0.500 1
Eu1 0.250 0.250 0.750 1
Cd1 0.250 0.250 0.250 1
# - DFT formation energy: -0.02 eV per atom

7.
# GGA-PBE NdEuTlCd, optimized geometry
data_NdEuTlCd
_chemical_formula_sum 'Nd4 Eu4 Tl4 Cd4'
_cell_length_a 7.837
_cell_length_b 7.837
_cell_length_c 7.837
_cell_angle_alpha 90.00
_cell_angle_beta 90.00
_cell_angle_gamma 90.00
_space_group_name_H-M_alt 'F -4 3 m'
_space_group_IT_number 216
_space_group_name_Hall 'F -4 2 3'
loop_
_atom_site_label
_atom_site_fract_x
_atom_site_fract_y
_atom_site_fract_z
_atom_site_occupancy
Nd1 0.000 0.000 0.000 1
Eu1 0.000 0.000 0.500 1
Tl1 0.250 0.250 0.750 1
Cd1 0.250 0.250 0.250 1
# - DFT formation energy: -0.37 eV per atom

8.
# GGA-PBE NdEuTmCd, optimized geometry
data_NdEuTmCd
_chemical_formula_sum 'Nd4 Eu4 Tm4 Cd4'
_cell_length_a 7.912
_cell_length_b 7.912
_cell_length_c 7.912
_cell_angle_alpha 90.00
_cell_angle_beta 90.00
_cell_angle_gamma 90.00
_space_group_name_H-M_alt 'F -4 3 m'
_space_group_IT_number 216
_space_group_name_Hall 'F -4 2 3'
loop_
_atom_site_label
_atom_site_fract_x
_atom_site_fract_y
_atom_site_fract_z
_atom_site_occupancy
Nd1 0.000 0.000 0.000 1
Eu1 0.000 0.000 0.500 1
Tm1 0.250 0.250 0.250 1
Cd1 0.250 0.250 0.750 1
# - DFT formation energy: -0.02 eV per atom

9.
# GGA-PBE NdEuZnCd, optimized geometry
data_NdEuZnCd
_chemical_formula_sum 'Nd4 Eu4 Zn4 Cd4'
_cell_length_a 7.615
_cell_length_b 7.615
_cell_length_c 7.615
_cell_angle_alpha 90.00
_cell_angle_beta 90.00
_cell_angle_gamma 90.00
_space_group_name_H-M_alt 'F -4 3 m'
_space_group_IT_number 216
_space_group_name_Hall 'F -4 2 3'
loop_
_atom_site_label
_atom_site_fract_x
_atom_site_fract_y
_atom_site_fract_z
_atom_site_occupancy
Nd1 0.000 0.000 0.000 1
Eu1 0.000 0.000 0.500 1
Zn1 0.250 0.250 0.750 1
Cd1 0.250 0.250 0.250 1
# - DFT formation energy: -0.29 eV per atom

10.
# GGA-PBE Eu2CdNi, optimized geometry
data_Eu2CdNi
_chemical_formula_sum 'Eu8 Cd4 Ni4'
_cell_length_a 7.471
_cell_length_b 7.471
_cell_length_c 7.471
_cell_angle_alpha 90.00
_cell_angle_beta 90.00
_cell_angle_gamma 90.00
_space_group_name_H-M_alt 'F m -3 m'
_space_group_IT_number 225
_space_group_name_Hall '-F 4 2 3'
loop_
_atom_site_label
_atom_site_fract_x
_atom_site_fract_y
_atom_site_fract_z
_atom_site_occupancy
Eu1 0.250 0.250 0.250 1
Cd1 0.000 0.000 0.000 1
Ni1 0.000 0.000 0.500 1
# - DFT formation energy: -0.10 eV per atom
# - Offset from the most stable computed form: 0.073 eV/atom

11.
# GGA-PBE Eu2CdNi, optimized geometry
data_Eu2CdNi
_chemical_formula_sum 'Eu6 Cd3 Ni3'
_cell_length_a 3.9463
_cell_length_b 3.9463
_cell_length_c 30.4874
_cell_angle_alpha 90.00
_cell_angle_beta 90.00
_cell_angle_gamma 120.00
_space_group_name_H-M_alt 'R -3 m'
_space_group_IT_number 166
_space_group_name_Hall '-R 3 2"'
loop_
_atom_site_label
_atom_site_fract_x
_atom_site_fract_y
_atom_site_fract_z
_atom_site_occupancy
Eu1 0.0000 0.0000 0.1126 1
Cd1 0.0000 0.0000 0.0000 1
Ni1 0.0000 0.0000 0.5000 1
# - DFT formation energy: 0.10 eV per atom
# - Offset from the most stable computed form: 0.273 eV/atom

12.
# GGA-PBE Eu2CdNi, optimized geometry
data_Eu2CdNi
_chemical_formula_sum 'Eu2 Cd1 Ni1'
_cell_length_a 3.636
_cell_length_b 3.636
_cell_length_c 7.784
_cell_angle_alpha 90.00
_cell_angle_beta 90.00
_cell_angle_gamma 90.00
_space_group_name_H-M_alt 'P 4/m m m'
_space_group_IT_number 123
_space_group_name_Hall '-P 4 2'
loop_
_atom_site_label
_atom_site_fract_x
_atom_site_fract_y
_atom_site_fract_z
_atom_site_occupancy
Eu1 0.000 0.000 0.216 1
Cd1 0.500 0.500 0.500 1
Ni1 0.500 0.500 0.000 1
# - DFT formation energy: -0.17 eV per atom
# - Offset from the most stable computed form: 0.000 eV/atom

13.
# GGA-PBE Eu3CdNi, optimized geometry
data_Eu3CdNi
_chemical_formula_sum 'Eu3 Cd1 Ni1'
_cell_length_a 5.510
_cell_length_b 5.510
_cell_length_c 5.510
_cell_angle_alpha 90.00
_cell_angle_beta 90.00
_cell_angle_gamma 90.00
_space_group_name_H-M_alt 'P m -3 m'
_space_group_IT_number 221
_space_group_name_Hall '-P 4 2 3'
loop_
_atom_site_label
_atom_site_fract_x
_atom_site_fract_y
_atom_site_fract_z
_atom_site_occupancy
Eu1 0.000 0.000 0.500 1
Cd1 0.500 0.500 0.500 1
Ni1 0.000 0.000 0.000 1
# - DFT formation energy: -0.10 eV per atom

Number 1: energy -22.460 eV/f.u.. Number 2: energy -22.325 eV/f.u.. Number 3: energy -20.815 eV/f.u.. Number 4: energy -22.079 eV/f.u.. Number 5: energy -17.612 eV/f.u.. Number 6: energy -20.672 eV/f.u.. Number 7: energy -19.809 eV/f.u.. Number 8: energy -20.506 eV/f.u.. Number 9: energy -18.388 eV/f.u.. Number 10: energy -27.649 eV/f.u.. Number 11: energy -26.846 eV/f.u.. Number 12: energy -27.940 eV/f.u.. Number 13: energy -38.033 eV/f.u..